Here is crystalline CdIn2GaPd at its relaxed geometry from Alexandria via LeMat-Bulk. Energies are from GGA-PBE.

Calculated values
E in eV/atom: -2.9916
Formation enthalpy at 0 K in meV per atom: -69

```
data_CdIn2GaPd
_chemical_formula_sum 'Cd1 In2 Ga1 Pd1'
_cell_length_a 5.233
_cell_length_b 5.233
_cell_length_c 4.862
_cell_angle_alpha 90.00
_cell_angle_beta 90.00
_cell_angle_gamma 90.00
_symmetry_space_group_name_H-M 'P 4/m m m'
_symmetry_Int_Tables_number 123
_symmetry_space_group_name_Hall '-P 4 2'
loop_
_atom_site_label
_atom_site_fract_x
_atom_site_fract_y
_atom_site_fract_z
Cd1 0.000 0.000 0.000
In1 0.000 0.500 0.500
Ga1 0.500 0.500 0.000
Pd1 0.500 0.500 0.500
```

---

Here is crystalline CdInGa2Pd at its relaxed geometry from Alexandria via LeMat-Bulk. Energies are from GGA-PBE.

Calculated values
E in eV/atom: -3.0488
Formation enthalpy at 0 K in meV per atom: -69

```
data_CdInGa2Pd
_chemical_formula_sum 'Cd1 In1 Ga2 Pd1'
_cell_length_a 4.830
_cell_length_b 4.830
_cell_length_c 5.268
_cell_angle_alpha 90.00
_cell_angle_beta 90.00
_cell_angle_gamma 90.00
_symmetry_space_group_name_H-M 'P 4/m m m'
_symmetry_Int_Tables_number 123
_symmetry_space_group_name_Hall '-P 4 2'
loop_
_atom_site_label
_atom_site_fract_x
_atom_site_fract_y
_atom_site_fract_z
Cd1 0.000 0.000 0.000
In1 0.500 0.500 0.000
Ga1 0.000 0.500 0.500
Pd1 0.000 0.000 0.500
```

---

Here is crystalline Pm4CdIn2Ga at its relaxed geometry from Alexandria via LeMat-Bulk. Energies are from GGA-PBE.

Calculated values
E in eV/atom: -4.0223
Formation enthalpy at 0 K in meV per atom: -470

```
data_Pm4CdIn2Ga
_chemical_formula_sum 'Pm12 Cd3 In6 Ga3'
_cell_length_a 5.3914
_cell_length_b 5.3914
_cell_length_c 26.2786
_cell_angle_alpha 90.00
_cell_angle_beta 90.00
_cell_angle_gamma 120.00
_symmetry_space_group_name_H-M 'R -3 m'
_symmetry_Int_Tables_number 166
_symmetry_space_group_name_Hall '-R 3 2"'
loop_
_atom_site_label
_atom_site_fract_x
_atom_site_fract_y
_atom_site_fract_z
Pm1 0.0000 0.0000 0.1200
Pm2 0.0000 0.0000 0.3709
Cd1 0.0000 0.0000 0.5000
In1 0.0000 0.0000 0.2448
Ga1 0.0000 0.0000 0.0000
```

---

Here is crystalline Pr4CdIn2Ga at its relaxed geometry from Alexandria via LeMat-Bulk. Energies are from GGA-PBE.

Calculated values
E in eV/atom: -4.0263
Formation enthalpy at 0 K in meV per atom: -459

```
data_Pr4CdIn2Ga
_chemical_formula_sum 'Pr12 Cd3 In6 Ga3'
_cell_length_a 5.4705
_cell_length_b 5.4705
_cell_length_c 26.6628
_cell_angle_alpha 90.00
_cell_angle_beta 90.00
_cell_angle_gamma 120.00
_symmetry_space_group_name_H-M 'R -3 m'
_symmetry_Int_Tables_number 166
_symmetry_space_group_name_Hall '-R 3 2"'
loop_
_atom_site_label
_atom_site_fract_x
_atom_site_fract_y
_atom_site_fract_z
Pr1 0.0000 0.0000 0.1200
Pr2 0.0000 0.0000 0.3708
Cd1 0.0000 0.0000 0.5000
In1 0.0000 0.0000 0.2450
Ga1 0.0000 0.0000 0.0000
```

---

Here is crystalline Cd2InGaPt at its relaxed geometry from Alexandria via LeMat-Bulk. Energies are from GGA-PBE.

Calculated values
E in eV/atom: -2.8477
Formation enthalpy at 0 K in meV per atom: -120

```
data_Cd2InGaPt
_chemical_formula_sum 'Cd2 In1 Ga1 Pt1'
_cell_length_a 5.318
_cell_length_b 5.318
_cell_length_c 4.794
_cell_angle_alpha 90.00
_cell_angle_beta 90.00
_cell_angle_gamma 90.00
_symmetry_space_group_name_H-M 'P 4/m m m'
_symmetry_Int_Tables_number 123
_symmetry_space_group_name_Hall '-P 4 2'
loop_
_atom_site_label
_atom_site_fract_x
_atom_site_fract_y
_atom_site_fract_z
Cd1 0.000 0.500 0.000
In1 0.000 0.000 0.500
Ga1 0.500 0.500 0.500
Pt1 0.500 0.500 0.000
```

---

Here is crystalline CdInGa2Pt at its relaxed geometry from Alexandria via LeMat-Bulk. Energies are from GGA-PBE.

Calculated values
E in eV/atom: -3.2982
Formation enthalpy at 0 K in meV per atom: -149
Relative energy among the computed polymorphs in kJ per mole of atoms: 0.8

```
data_CdInGa2Pt
_chemical_formula_sum 'Cd1 In1 Ga2 Pt1'
_cell_length_a 4.839
_cell_length_b 4.839
_cell_length_c 5.396
_cell_angle_alpha 90.00
_cell_angle_beta 90.00
_cell_angle_gamma 90.00
_symmetry_space_group_name_H-M 'P 4/m m m'
_symmetry_Int_Tables_number 123
_symmetry_space_group_name_Hall '-P 4 2'
loop_
_atom_site_label
_atom_site_fract_x
_atom_site_fract_y
_atom_site_fract_z
Cd1 0.000 0.000 0.000
In1 0.500 0.500 0.000
Ga1 0.000 0.500 0.500
Pt1 0.500 0.500 0.500
```

---

Here is crystalline CdInGa2Pt at its relaxed geometry from Alexandria via LeMat-Bulk. Energies are from GGA-PBE.

Calculated values
E in eV/atom: -3.3066
Formation enthalpy at 0 K in meV per atom: -157
Relative energy among the computed polymorphs in kJ per mole of atoms: 0.0

```
data_CdInGa2Pt
_chemical_formula_sum 'Cd1 In1 Ga2 Pt1'
_cell_length_a 4.847
_cell_length_b 4.847
_cell_length_c 5.355
_cell_angle_alpha 90.00
_cell_angle_beta 90.00
_cell_angle_gamma 90.00
_symmetry_space_group_name_H-M 'P 4/m m m'
_symmetry_Int_Tables_number 123
_symmetry_space_group_name_Hall '-P 4 2'
loop_
_atom_site_label
_atom_site_fract_x
_atom_site_fract_y
_atom_site_fract_z
Cd1 0.000 0.000 0.000
In1 0.500 0.500 0.000
Ga1 0.000 0.500 0.500
Pt1 0.000 0.000 0.500
```

---

Here is crystalline CdIn2GaPt at its relaxed geometry from Alexandria via LeMat-Bulk. Energies are from GGA-PBE.

Calculated values
E in eV/atom: -3.2319
Formation enthalpy at 0 K in meV per atom: -140

```
data_CdIn2GaPt
_chemical_formula_sum 'Cd1 In2 Ga1 Pt1'
_cell_length_a 5.264
_cell_length_b 5.264
_cell_length_c 4.834
_cell_angle_alpha 90.00
_cell_angle_beta 90.00
_cell_angle_gamma 90.00
_symmetry_space_group_name_H-M 'P 4/m m m'
_symmetry_Int_Tables_number 123
_symmetry_space_group_name_Hall '-P 4 2'
loop_
_atom_site_label
_atom_site_fract_x
_atom_site_fract_y
_atom_site_fract_z
Cd1 0.000 0.000 0.000
In1 0.000 0.500 0.500
Ga1 0.500 0.500 0.000
Pt1 0.500 0.500 0.500
```

---

Here is crystalline PuCdInGa at its relaxed geometry from Alexandria via LeMat-Bulk. Energies are from GGA-PBE.

Calculated values
E in eV/atom: -5.3647
Formation enthalpy at 0 K in meV per atom: -112

```
data_PuCdInGa
_chemical_formula_sum 'Pu4 Cd4 In4 Ga4'
_cell_length_a 7.197
_cell_length_b 7.197
_cell_length_c 7.197
_cell_angle_alpha 90.00
_cell_angle_beta 90.00
_cell_angle_gamma 90.00
_symmetry_space_group_name_H-M 'F -4 3 m'
_symmetry_Int_Tables_number 216
_symmetry_space_group_name_Hall 'F -4 2 3'
loop_
_atom_site_label
_atom_site_fract_x
_atom_site_fract_y
_atom_site_fract_z
Pu1 0.000 0.000 0.000
Cd1 0.250 0.250 0.750
In1 0.000 0.000 0.500
Ga1 0.250 0.250 0.250
```

---

Here is crystalline RbCdInGa2 at its relaxed geometry from Alexandria via LeMat-Bulk. Energies are from GGA-PBE.

Calculated values
E in eV/atom: -2.2049
Formation enthalpy at 0 K in meV per atom: -70

```
data_RbCdInGa2
_chemical_formula_sum 'Rb2 Cd2 In2 Ga4'
_cell_length_a 4.710
_cell_length_b 4.830
_cell_length_c 12.175
_cell_angle_alpha 90.00
_cell_angle_beta 90.00
_cell_angle_gamma 90.00
_symmetry_space_group_name_H-M 'I m m 2'
_symmetry_Int_Tables_number 44
loop_
_symmetry_equiv_pos_as_xyz
'x,y,z'
'-x,-y,z'
'-x,y,z'
'x,-y,z'
'x+1/2,y+1/2,z+1/2'
'-x+1/2,-y+1/2,z+1/2'
'-x+1/2,y+1/2,z+1/2'
'x+1/2,-y+1/2,z+1/2'
loop_
_atom_site_label
_atom_site_fract_x
_atom_site_fract_y
_atom_site_fract_z
Rb1 0.000 0.000 0.000
Cd1 0.000 0.000 0.391
In1 0.000 0.500 0.744
Ga1 0.000 0.000 0.622
Ga2 0.000 0.500 0.243
```

---

Here is crystalline Rb2CdIn3Ga4 at its relaxed geometry from Alexandria via LeMat-Bulk. Energies are from GGA-PBE.

Calculated values
E in eV/atom: -2.3975
Formation enthalpy at 0 K in meV per atom: -80

```
data_Rb2CdIn3Ga4
_chemical_formula_sum 'Rb2 Cd1 In3 Ga4'
_cell_length_a 4.828
_cell_length_b 4.828
_cell_length_c 11.969
_cell_angle_alpha 90.00
_cell_angle_beta 90.00
_cell_angle_gamma 90.00
_symmetry_space_group_name_H-M 'P -4 m 2'
_symmetry_Int_Tables_number 115
loop_
_symmetry_equiv_pos_as_xyz
'x,y,z'
'y,-x,-z'
'-x,-y,z'
'-y,x,-z'
'-x,y,z'
'-y,-x,-z'
'x,-y,z'
'y,x,-z'
loop_
_atom_site_label
_atom_site_fract_x
_atom_site_fract_y
_atom_site_fract_z
Rb1 0.000 0.500 0.248
Cd1 0.000 0.000 0.500
In1 0.000 0.500 0.870
In2 0.500 0.500 0.500
Ga1 0.000 0.000 0.000
Ga2 0.000 0.500 0.633
Ga3 0.500 0.500 0.000
```

---

Here is crystalline Rb2Cd4In3Ga at its relaxed geometry from Alexandria via LeMat-Bulk. Energies are from GGA-PBE.

Calculated values
E in eV/atom: -1.7349
Formation enthalpy at 0 K in meV per atom: -51

```
data_Rb2Cd4In3Ga
_chemical_formula_sum 'Rb2 Cd4 In3 Ga1'
_cell_length_a 4.901
_cell_length_b 4.901
_cell_length_c 12.681
_cell_angle_alpha 90.00
_cell_angle_beta 90.00
_cell_angle_gamma 90.00
_symmetry_space_group_name_H-M 'P -4 m 2'
_symmetry_Int_Tables_number 115
loop_
_symmetry_equiv_pos_as_xyz
'x,y,z'
'y,-x,-z'
'-x,-y,z'
'-y,x,-z'
'-x,y,z'
'-y,-x,-z'
'x,-y,z'
'y,x,-z'
loop_
_atom_site_label
_atom_site_fract_x
_atom_site_fract_y
_atom_site_fract_z
Rb1 0.000 0.500 0.246
Cd1 0.000 0.000 0.500
Cd2 0.000 0.500 0.871
Cd3 0.500 0.500 0.500
In1 0.000 0.000 0.000
In2 0.000 0.500 0.637
Ga1 0.500 0.500 0.000
```